[1]
! CaLa4Pr (GGA-PBE, optimized geometry); values from VASP
! N(E_F) ... 1.657 states/eV per atom
! ΔE to the lowest computed polymorph ... 0 meV per atom
! Total DFT energy (no corrections) ... -4.38 eV/atom
&SYSTEM
  ibrav = 0, nat = 6, ntyp = 3
/
ATOMIC_SPECIES
Ca 40.08 Ca.upf
La 138.91 La.upf
Pr 140.91 Pr.upf
CELL_PARAMETERS angstrom
3.707 0.000 0.000
0.000 5.359 0.000
-0.028 0.000 11.294
ATOMIC_POSITIONS angstrom
Ca 0.000 0.000 0.000
La -0.013 0.000 7.524
La 1.840 2.679 2.062
La 1.839 2.679 9.232
La 3.692 0.000 3.770
Pr 1.839 2.679 5.647


[2]
! CaLa9Pr2 (GGA-PBE, optimized geometry); values from VASP
! N(E_F) ... 1.692 states/eV per atom
! Total DFT energy (no corrections) ... -4.64 eV/atom
&SYSTEM
  ibrav = 0, nat = 12, ntyp = 3
/
ATOMIC_SPECIES
Ca 40.08 Ca.upf
La 138.91 La.upf
Pr 140.91 Pr.upf
CELL_PARAMETERS angstrom
5.293 0.000 0.000
0.000 5.293 0.000
0.000 0.000 15.833
ATOMIC_POSITIONS angstrom
Ca 0.000 0.000 0.000
La 0.000 2.646 2.706
La 0.000 2.646 7.917
La 0.000 2.646 13.127
La 2.646 0.000 2.706
La 2.646 0.000 7.917
La 2.646 0.000 13.127
La 2.646 2.646 0.000
La 2.646 2.646 5.280
La 2.646 2.646 10.553
Pr 0.000 0.000 5.267
Pr 0.000 0.000 10.566


[3]
! CaLa2Pr12 (GGA-PBE, optimized geometry); values from VASP
! N(E_F) ... 1.480 states/eV per atom
! Total DFT energy (no corrections) ... -4.35 eV/atom
&SYSTEM
  ibrav = 0, nat = 30, ntyp = 3
/
ATOMIC_SPECIES
Ca 40.08 Ca.upf
La 138.91 La.upf
Pr 140.91 Pr.upf
CELL_PARAMETERS angstrom
6.701 0.000 0.000
0.000 6.701 0.000
0.000 0.000 26.357
ATOMIC_POSITIONS angstrom
Ca 1.675 5.026 0.000
Ca 5.026 1.675 0.000
La 1.675 5.026 7.119
La 1.675 5.026 19.237
La 5.026 1.675 7.119
La 5.026 1.675 19.237
Pr 0.438 3.789 3.209
Pr 0.438 6.263 23.148
Pr 0.549 3.900 14.775
Pr 0.549 6.152 11.582
Pr 1.675 1.675 5.806
Pr 1.675 1.675 8.988
Pr 1.675 1.675 17.368
Pr 1.675 1.675 20.551
Pr 2.802 3.900 11.582
Pr 2.802 6.152 14.775
Pr 2.912 3.789 23.148
Pr 2.912 6.263 3.209
Pr 3.789 0.438 23.148
Pr 3.789 2.912 3.209
Pr 3.900 0.549 11.582
Pr 3.900 2.802 14.775
Pr 5.026 5.026 5.806
Pr 5.026 5.026 8.988
Pr 5.026 5.026 17.368
Pr 5.026 5.026 20.551
Pr 6.152 0.549 14.775
Pr 6.152 2.802 11.582
Pr 6.263 0.438 3.209
Pr 6.263 2.912 23.148


[4]
! CaLa6Pr5 (GGA-PBE, optimized geometry); values from VASP
! N(E_F) ... 1.729 states/eV per atom
! Total DFT energy (no corrections) ... -4.60 eV/atom
&SYSTEM
  ibrav = 0, nat = 12, ntyp = 3
/
ATOMIC_SPECIES
Ca 40.08 Ca.upf
La 138.91 La.upf
Pr 140.91 Pr.upf
CELL_PARAMETERS angstrom
-2.650 5.300 7.923
2.650 -5.300 7.923
2.650 5.300 -7.923
ATOMIC_POSITIONS angstrom
Ca 0.000 0.000 0.000
La 2.650 -2.622 5.238
La 2.650 2.736 0.000
La 0.000 2.678 2.685
La 2.650 2.622 5.238
La 0.000 2.564 7.923
La 0.000 7.922 2.685
Pr 2.650 0.000 2.714
Pr 0.000 0.000 5.275
Pr 0.000 5.300 0.000
Pr 0.000 0.000 10.571
Pr 0.000 5.300 5.209


[5]
! Ca3LaPr6 (GGA-PBE, optimized geometry); values from VASP
! N(E_F) ... 1.283 states/eV per atom
! Total DFT energy (no corrections) ... -3.79 eV/atom
&SYSTEM
  ibrav = 0, nat = 10, ntyp = 3
/
ATOMIC_SPECIES
Ca 40.08 Ca.upf
La 138.91 La.upf
Pr 140.91 Pr.upf
CELL_PARAMETERS angstrom
6.733 0.000 0.000
-3.366 5.831 0.000
0.000 0.000 9.603
ATOMIC_POSITIONS angstrom
Ca 0.000 0.000 0.000
Ca 0.000 3.887 0.000
Ca 3.366 1.944 0.000
La 0.000 0.000 4.802
Pr -1.322 2.289 3.056
Pr -2.045 3.541 6.547
Pr 2.644 0.000 3.056
Pr 1.322 2.289 6.547
Pr 4.089 0.000 6.547
Pr 2.045 3.541 3.056


[6]
! CaLa2Pr2 (GGA-PBE, optimized geometry); values from VASP
! N(E_F) ... 1.525 states/eV per atom
! ΔE to the lowest computed polymorph ... 10 meV per atom
! Total DFT energy (no corrections) ... -4.25 eV/atom
&SYSTEM
  ibrav = 0, nat = 5, ntyp = 3
/
ATOMIC_SPECIES
Ca 40.08 Ca.upf
La 138.91 La.upf
Pr 140.91 Pr.upf
CELL_PARAMETERS angstrom
3.744 0.000 0.000
-1.872 3.243 0.000
0.000 0.000 15.519
ATOMIC_POSITIONS angstrom
Ca 0.000 0.000 0.000
La 0.000 2.162 6.167
La 1.872 1.081 9.352
Pr 0.000 2.162 12.322
Pr 1.872 1.081 3.198


[7]
! CaLa4Pr (GGA-PBE, optimized geometry); values from VASP
! N(E_F) ... 1.657 states/eV per atom
! ΔE to the lowest computed polymorph ... 150 meV per atom
! Total DFT energy (no corrections) ... -4.23 eV/atom
&SYSTEM
  ibrav = 0, nat = 6, ntyp = 3
/
ATOMIC_SPECIES
Ca 40.08 Ca.upf
La 138.91 La.upf
Pr 140.91 Pr.upf
CELL_PARAMETERS angstrom
0.000 4.885 4.885
4.885 0.000 4.885
4.885 4.885 0.000
ATOMIC_POSITIONS angstrom
Ca 0.000 0.000 0.000
La 6.079 3.691 3.691
La 3.691 6.079 3.691
La 3.691 3.691 6.079
La 6.079 6.079 6.079
Pr 2.443 2.443 2.443


[8]
! CaLa3Pr4 (GGA-PBE, optimized geometry); values from VASP
! N(E_F) ... 1.394 states/eV per atom
! Total DFT energy (no corrections) ... -4.46 eV/atom
&SYSTEM
  ibrav = 0, nat = 16, ntyp = 3
/
ATOMIC_SPECIES
Ca 40.08 Ca.upf
La 138.91 La.upf
Pr 140.91 Pr.upf
CELL_PARAMETERS angstrom
7.463 0.000 0.000
0.000 7.425 0.000
0.000 0.000 10.630
ATOMIC_POSITIONS angstrom
Ca 0.000 7.424 0.000
Ca 3.732 0.001 5.315
La 0.000 3.716 0.001
La 1.867 1.903 2.652
La 1.864 5.522 7.967
La 3.732 3.709 5.316
La 5.596 1.903 2.652
La 5.599 5.522 7.967
Pr 0.000 0.003 5.312
Pr 0.000 3.711 5.312
Pr 1.865 1.893 7.976
Pr 1.867 5.532 2.660
Pr 3.732 7.422 10.627
Pr 3.732 3.714 10.627
Pr 5.599 1.893 7.976
Pr 5.597 5.532 2.660